This record from Alexandria describes a geometry-optimized As2Rh2W structure. The functional is PBE-GGA.

Computed properties:
Total DFT energy (no corrections) = -73.4 eV per cell

Lattice parameters (Å, degrees): 7.1933 7.1933 2.9502 90.00 90.00 90.00
Sites, in units of the cell vectors:
As 0.1562 0.3438 0.0000
As 0.3438 0.8438 0.0000
As 0.6562 0.1562 0.0000
As 0.8438 0.6562 0.0000
Rh 0.1471 0.6471 0.5000
Rh 0.3529 0.1471 0.5000
Rh 0.6471 0.8529 0.5000
Rh 0.8529 0.3529 0.5000
W 0.0000 0.0000 0.0000
W 0.5000 0.5000 0.0000